Material: WSeF
Method: DFT, PBE with a Hubbard U
State: optimized geometry

Output
For the total energy, the calculation gives -4.88 eV/atom.

abc: 3.267 5.642 7.105
angles: 106.87 95.04 91.84
Sites, in units of the cell vectors:
W (0.329, 0.297, 0.518)
W (0.671, 0.703, 0.482)
Se (0.869, 0.142, 0.741)
Se (0.131, 0.858, 0.259)
F (0.538, 0.637, 0.752)
F (0.462, 0.363, 0.248)